1.
Entry from Alexandria via LeMat-Bulk: crystalline TbSm2OsC2 at its relaxed geometry (PBE).

a b c (Å): 5.655 11.199 3.806
angles (deg): 90.00 90.00 90.00
Space group Pnnm (No. 58)
Unique sites:
1 Tb 0.000 0.000 0.000
2 Sm 0.047 0.293 0.500
3 Os 0.000 0.500 0.000
4 C 0.230 0.888 0.500

Calculated values
D(E_F), states/eV/f.u.: 4.2
Energy relative to the elements, meV per atom: -117



2.
Entry from Alexandria via LeMat-Bulk: crystalline SmTh2OsC4 at its relaxed geometry (PBE).

a b c (Å): 3.639 12.198 12.687
angles (deg): 90.00 90.00 90.00
Space group Cmcm (No. 63)
Unique sites:
1 Sm 0.000 0.098 0.250
2 Th 0.000 0.367 0.041
3 Os 0.000 0.167 0.750
4 C 0.000 0.000 0.000
5 C 0.000 0.267 0.634
6 C 0.000 0.413 0.250

Calculated values
D(E_F), states/eV/f.u.: 5.2
Energy relative to the elements, meV per atom: 10



3.
Entry from Alexandria via LeMat-Bulk: crystalline SmTh2OsC2 at its relaxed geometry (PBE).

a b c (Å): 5.840 11.247 3.842
angles (deg): 90.00 90.00 90.00
Space group Pnnm (No. 58)
Unique sites:
1 Sm 0.000 0.000 0.000
2 Th 0.031 0.294 0.500
3 Os 0.000 0.500 0.000
4 C 0.233 0.884 0.500

Calculated values
D(E_F), states/eV/f.u.: 4.8
Energy relative to the elements, meV per atom: -173



4.
Entry from Alexandria via LeMat-Bulk: crystalline Sm2TlOsC at its relaxed geometry (PBE).

a b c (Å): 5.213 5.213 3.948
angles (deg): 90.00 90.00 90.00
Space group P4/mmm (No. 123)
Unique sites:
1 Sm 0.000 0.500 0.000
2 Tl 0.000 0.000 0.500
3 Os 0.500 0.500 0.500
4 C 0.500 0.500 0.000

Calculated values
D(E_F), states/eV/f.u.: 2.3
Energy relative to the elements, meV per atom: -287



5.
Entry from Alexandria via LeMat-Bulk: crystalline Sm2ZnOsC at its relaxed geometry (PBE).

a b c (Å): 5.119 5.119 3.904
angles (deg): 90.00 90.00 90.00
Space group P4/mmm (No. 123)
Unique sites:
1 Sm 0.000 0.500 0.000
2 Zn 0.000 0.000 0.500
3 Os 0.500 0.500 0.500
4 C 0.500 0.500 0.000

Calculated values
D(E_F), states/eV/f.u.: 2.4
Energy relative to the elements, meV per atom: -303



6.
Entry from Alexandria via LeMat-Bulk: crystalline Sn2OsC at its relaxed geometry (PBE).

a b c (Å): 5.777 5.777 10.147
angles (deg): 90.00 90.00 90.00
Space group I-42d (No. 122)
Unique sites:
1 Sn 0.194 0.250 0.125
2 Os 0.000 0.000 0.500
3 C 0.000 0.000 0.000

Calculated values
D(E_F), states/eV/f.u.: 0.8
Energy relative to the elements, meV per atom: 1241



7.
Entry from Alexandria via LeMat-Bulk: crystalline SnOsC2 at its relaxed geometry (PBE).

a b c (Å): 4.890 4.890 9.931
angles (deg): 90.00 90.00 90.00
Space group I-42d (No. 122)
Unique sites:
1 Sn 0.000 0.000 0.000
2 Os 0.000 0.000 0.500
3 C 0.192 0.250 0.625

Calculated values
D(E_F), states/eV/f.u.: 1.1
Energy relative to the elements, meV per atom: 960



8.
Entry from Alexandria via LeMat-Bulk: crystalline SnOs2C at its relaxed geometry (PBE).

a b c (Å): 6.112 6.112 6.112
angles (deg): 90.00 90.00 90.00
Space group Fm-3m (No. 225)
Unique sites:
1 Sn 0.000 0.000 0.000
2 Os 0.250 0.250 0.250
3 C 0.000 0.000 0.500

Calculated values
D(E_F), states/eV/f.u.: 3.3
Energy relative to the lowest polymorph listed for this composition, meV per atom: 773
Energy relative to the elements, meV per atom: 1649



9.
Entry from Alexandria via LeMat-Bulk: crystalline SnOs2C at its relaxed geometry (PBE).

a b c (Å): 5.514 5.514 9.230
angles (deg): 90.00 90.00 90.00
Space group I-42d (No. 122)
Unique sites:
1 Sn 0.000 0.000 0.000
2 Os 0.138 0.250 0.625
3 C 0.000 0.000 0.500

Calculated values
D(E_F), states/eV/f.u.: 2.1
Energy relative to the lowest polymorph listed for this composition, meV per atom: 0
Energy relative to the elements, meV per atom: 876



10.
Entry from Alexandria via LeMat-Bulk: crystalline Sn2OsC4 at its relaxed geometry (PBE).

a b c (Å): 3.831 3.831 14.247
angles (deg): 90.00 90.00 90.00
Space group I4/mmm (No. 139)
Unique sites:
1 Sn 0.000 0.000 0.179
2 Os 0.000 0.000 0.500
3 C 0.000 0.000 0.342
4 C 0.000 0.500 0.000

Calculated values
D(E_F), states/eV/f.u.: 4.2
Energy relative to the elements, meV per atom: 1753



11.
Entry from Alexandria via LeMat-Bulk: crystalline Sr2SnOsC at its relaxed geometry (PBE).

a b c (Å): 5.788 5.788 5.046
angles (deg): 90.00 90.00 90.00
Space group P4/mmm (No. 123)
Unique sites:
1 Sr 0.000 0.500 0.000
2 Sn 0.000 0.000 0.500
3 Os 0.000 0.000 0.000
4 C 0.500 0.500 0.500

Calculated values
D(E_F), states/eV/f.u.: 5.4
Energy relative to the elements, meV per atom: 1227



12.
Entry from Alexandria via LeMat-Bulk: crystalline SnTe2OsC at its relaxed geometry (PBE).

a b c (Å): 5.246 5.246 5.155
angles (deg): 90.00 90.00 90.00
Space group P4/mmm (No. 123)
Unique sites:
1 Sn 0.000 0.000 0.000
2 Te 0.000 0.500 0.500
3 Os 0.000 0.000 0.500
4 C 0.500 0.500 0.000

Calculated values
Energy, eV for the cell shown: -21.64
D(E_F), states/eV/f.u.: 5.5



13.
Entry from Alexandria via LeMat-Bulk: crystalline SrOsC2 at its relaxed geometry (PBE).

a b c (Å): 5.888 5.888 5.888
angles (deg): 90.00 90.00 90.00
Space group Fm-3m (No. 225)
Unique sites:
1 Sr 0.000 0.000 0.000
2 Os 0.000 0.000 0.500
3 C 0.250 0.250 0.250

Calculated values
D(E_F), states/eV/f.u.: 1.6
Energy relative to the lowest polymorph listed for this composition, meV per atom: 1474
Energy relative to the elements, meV per atom: 1794



14.
Entry from Alexandria via LeMat-Bulk: crystalline SrOsC at its relaxed geometry (PBE).

a b c (Å): 3.851 3.851 8.806
angles (deg): 90.00 90.00 90.00
Space group P4/nmm (No. 129, origin choice 2)
Unique sites:
1 Sr 0.250 0.250 0.205
2 Os 0.250 0.750 0.500
3 C 0.250 0.250 0.596

Calculated values
D(E_F), states/eV/f.u.: 2.0
Energy relative to the lowest polymorph listed for this composition, meV per atom: 29
Energy relative to the elements, meV per atom: 307



15.
Entry from Alexandria via LeMat-Bulk: crystalline SrOsC at its relaxed geometry (PBE).

a b c (Å): 3.5174 3.5174 4.9486
angles (deg): 90.00 90.00 120.00
Space group P-6m2 (No. 187)
Unique sites:
1 Sr 0.0000 0.0000 0.0000
2 Os 0.6667 0.3333 0.5000
3 C 0.3333 0.6667 0.5000

Calculated values
D(E_F), states/eV/f.u.: 1.6
Energy relative to the lowest polymorph listed for this composition, meV per atom: 0
Energy relative to the elements, meV per atom: 278



16.
Entry from Alexandria via LeMat-Bulk: crystalline SrOsC2 at its relaxed geometry (PBE).

a b c (Å): 4.940 4.940 11.646
angles (deg): 90.00 90.00 90.00
Space group I4_1/amd (No. 141, origin choice 2)
Unique sites:
1 Sr 0.000 0.250 0.375
2 Os 0.000 0.250 0.875
3 C 0.000 0.000 0.000

Calculated values
D(E_F), states/eV/f.u.: 0.1
Energy relative to the lowest polymorph listed for this composition, meV per atom: 0
Energy relative to the elements, meV per atom: 320



17.
Entry from Alexandria via LeMat-Bulk: crystalline Sr2ZnOsC at its relaxed geometry (PBE).

a b c (Å): 5.493 5.493 3.918
angles (deg): 90.00 90.00 90.00
Space group P4/mmm (No. 123)
Unique sites:
1 Sr 0.000 0.500 0.000
2 Zn 0.000 0.000 0.500
3 Os 0.500 0.500 0.500
4 C 0.500 0.500 0.000

Calculated values
D(E_F), states/eV/f.u.: 3.9
Energy relative to the elements, meV per atom: 103



18.
Entry from Alexandria via LeMat-Bulk: crystalline Ta4OsC at its relaxed geometry (PBE).

a b c (Å): 4.724 2.987 7.001
angles (deg): 90.00 104.89 90.00
Space group P2/m (No. 10)
Unique sites:
1 Ta 0.117 0.000 0.205
2 Ta 0.312 0.500 0.618
3 Os 0.500 0.500 0.000
4 C 0.000 0.000 0.500

Calculated values
D(E_F), states/eV/f.u.: 4.9
Energy relative to the elements, meV per atom: -84



19.
Entry from Alexandria via LeMat-Bulk: crystalline TaOsC3 at its relaxed geometry (PBE).

a b c (Å): 3.920 3.920 3.920
angles (deg): 90.00 90.00 90.00
Space group Pm-3m (No. 221)
Unique sites:
1 Ta 0.000 0.000 0.000
2 Os 0.500 0.500 0.500
3 C 0.000 0.500 0.500

Calculated values
D(E_F), states/eV/f.u.: 7.0
Energy relative to the lowest polymorph listed for this composition, meV per atom: 0
Energy relative to the elements, meV per atom: 1969



20.
Entry from Alexandria via LeMat-Bulk: crystalline Ta3OsC at its relaxed geometry (PBE).

a b c (Å): 4.252 4.252 4.252
angles (deg): 90.00 90.00 90.00
Space group Pm-3m (No. 221)
Unique sites:
1 Ta 0.000 0.000 0.500
2 Os 0.500 0.500 0.500
3 C 0.000 0.000 0.000

Calculated values
D(E_F), states/eV/f.u.: 5.3
Energy relative to the lowest polymorph listed for this composition, meV per atom: 0
Energy relative to the elements, meV per atom: -153



21.
Entry from Alexandria via LeMat-Bulk: crystalline Ta3OsC at its relaxed geometry (PBE).

a b c (Å): 4.821 4.821 4.821
angles (deg): 90.00 90.00 90.00
Space group Pm-3m (No. 221)
Unique sites:
1 Ta 0.000 0.000 0.500
2 Os 0.000 0.000 0.000
3 C 0.500 0.500 0.500

Calculated values
D(E_F), states/eV/f.u.: 5.1
Energy relative to the lowest polymorph listed for this composition, meV per atom: 2499
Energy relative to the elements, meV per atom: 2346



22.
Entry from Alexandria via LeMat-Bulk: crystalline Ta2OsC at its relaxed geometry (PBE).

a b c (Å): 6.472 6.472 5.693
angles (deg): 90.00 90.00 90.00
Space group I-42d (No. 122)
Unique sites:
1 Ta 0.186 0.750 0.125
2 Os 0.000 0.000 0.500
3 C 0.000 0.000 0.000

Calculated values
D(E_F), states/eV/f.u.: 2.9
Energy relative to the elements, meV per atom: 356



23.
Entry from Alexandria via LeMat-Bulk: crystalline TaOsC3 at its relaxed geometry (PBE).

a b c (Å): 4.070 4.070 4.070
angles (deg): 90.00 90.00 90.00
Space group Pm-3m (No. 221)
Unique sites:
1 Ta 0.000 0.000 0.000
2 Os 0.500 0.500 0.500
3 C 0.000 0.000 0.500

Calculated values
D(E_F), states/eV/f.u.: 4.6
Energy relative to the lowest polymorph listed for this composition, meV per atom: 635
Energy relative to the elements, meV per atom: 2603



24.
Entry from Alexandria via LeMat-Bulk: crystalline TaOs2C at its relaxed geometry (PBE).

a b c (Å): 6.679 6.679 4.949
angles (deg): 90.00 90.00 90.00
Space group I-42d (No. 122)
Unique sites:
1 Ta 0.000 0.000 0.000
2 Os 0.146 0.250 0.625
3 C 0.000 0.000 0.500

Calculated values
D(E_F), states/eV/f.u.: 2.1
Energy relative to the elements, meV per atom: 259



25.
Entry from Alexandria via LeMat-Bulk: crystalline ThTa2OsC4 at its relaxed geometry (PBE).

a b c (Å): 3.346 11.455 11.082
angles (deg): 90.00 90.00 90.00
Space group Cmcm (No. 63)
Unique sites:
1 Th 0.000 0.101 0.250
2 Ta 0.000 0.373 0.040
3 Os 0.000 0.161 0.750
4 C 0.000 0.000 0.000
5 C 0.000 0.267 0.611
6 C 0.000 0.432 0.250

Calculated values
D(E_F), states/eV/f.u.: 2.4
Energy relative to the elements, meV per atom: -190